DFT (PBE) results for crystalline MnTc3 at its relaxed geometry.

Results
**SG**: Pm-3m
**Calculated formation energy**: 8.1 eV/f.u.
**Total DFT energy (no corrections)**: -0.5903 Ry/atom

Unit cell a=4.434 b=4.434 c=4.434 alpha=90.00 beta=90.00 gamma=90.00
Positions (direct):
Mn 0.000 0.000 0.000
Tc 0.000 0.000 0.500
Tc 0.000 0.500 0.000
Tc 0.500 0.000 0.000

---

DFT (PBE) results for crystalline MnTc at its relaxed geometry.

Results
**SG**: P6_3/m
**Calculated formation energy**: 0.7 eV/f.u.
**Total DFT energy (no corrections)**: -0.6935 Ry/atom

Unit cell a=6.998 b=6.998 c=3.935 alpha=90.00 beta=90.00 gamma=120.00
Positions (direct):
Mn 0.039 0.218 0.250
Mn 0.180 0.961 0.250
Mn 0.218 0.180 0.750
Mn 0.782 0.820 0.250
Mn 0.820 0.039 0.750
Mn 0.961 0.782 0.750
Tc 0.101 0.482 0.750
Tc 0.381 0.899 0.750
Tc 0.482 0.381 0.250
Tc 0.518 0.619 0.750
Tc 0.619 0.101 0.250
Tc 0.899 0.518 0.250

---

What is the formula in the second record? MnTc

---

total DFT energy (no corrections) of number 2 (MnTc)? -0.6935 Ry/atom

---

Which of these has the highest total DFT energy (no corrections)? MnTc3